Entry w
{"formula": "TmThSe3", "functional": "GGA-PBE", "state": "relaxed", "lattice_angstrom": [[4.179, 0.000, 0.000], [0.000, 7.252, 0.000], [-2.090, 0.000, 10.522]], "species": ["Tm", "Tm", "Th", "Th", "Se", "Se", "Se", "Se", "Se", "Se"], "frac_coords": [[0.835, 0.991, 0.671], [0.165, 0.491, 0.329], [0.340, 0.493, 0.679], [0.660, 0.993, 0.321], [0.909, 0.311, 0.818], [0.091, 0.811, 0.182], [0.596, 0.338, 0.192], [0.404, 0.838, 0.808], [0.749, 0.660, 0.498], [0.251, 0.160, 0.502]], "total_magnetization_mub_per_cell": 0.44, "density_g_cm3": 6.6, "space_group": "No. 36"}



Entry x
{"formula": "TmThSe3", "functional": "GGA-PBE", "state": "relaxed", "lattice_angstrom": [[4.128, 0.000, 0.000], [0.000, 7.747, 0.000], [0.000, 0.000, 15.727]], "species": ["Tm", "Tm", "Tm", "Tm", "Th", "Th", "Th", "Th", "Se", "Se", "Se", "Se", "Se", "Se", "Se", "Se", "Se", "Se", "Se", "Se"], "frac_coords": [[0.250, 0.265, 0.956], [0.250, 0.765, 0.544], [0.750, 0.235, 0.456], [0.750, 0.735, 0.044], [0.750, 0.875, 0.796], [0.250, 0.125, 0.204], [0.750, 0.375, 0.704], [0.250, 0.625, 0.296], [0.250, 0.376, 0.563], [0.750, 0.844, 0.220], [0.750, 0.490, 0.895], [0.750, 0.990, 0.605], [0.750, 0.624, 0.437], [0.250, 0.010, 0.395], [0.250, 0.876, 0.937], [0.750, 0.344, 0.280], [0.250, 0.656, 0.720], [0.250, 0.156, 0.780], [0.750, 0.124, 0.063], [0.250, 0.510, 0.105]], "total_magnetization_mub_per_cell": 0.00, "density_g_cm3": 8.4, "space_group": "No. 62"}



Need the numbers? Relative energies in eV/atom: entry w 0.109; entry x 0.000.